Entry A
A plane-wave DFT calculation with PBE-GGA was carried out for PuInAu3 after structural relaxation.

Unit cell a=9.431 b=4.894 c=9.576 alpha=90.00 beta=90.00 gamma=90.00
Fractional positions:
Pu1 0.228 0.250 0.010
Pu2 0.272 0.750 0.510
Pu3 0.728 0.250 0.490
Pu4 0.772 0.750 0.990
In1 0.085 0.250 0.353
In2 0.415 0.750 0.853
In3 0.585 0.250 0.147
In4 0.915 0.750 0.647
Au1 0.089 0.750 0.145
Au2 0.107 0.250 0.644
Au3 0.118 0.750 0.846
Au4 0.382 0.250 0.346
Au5 0.393 0.750 0.144
Au6 0.411 0.250 0.645
Au7 0.589 0.750 0.355
Au8 0.607 0.250 0.856
Au9 0.618 0.750 0.654
Au10 0.882 0.250 0.154
Au11 0.893 0.750 0.356
Au12 0.911 0.250 0.855

Output
Spin magnetization (μB/cell): 21.86

***

Entry B
A plane-wave DFT calculation with PBE-GGA was carried out for PuInAu3 after structural relaxation.

Unit cell a=4.944 b=7.557 c=6.604 alpha=90.00 beta=111.82 gamma=90.00
Fractional positions:
Pu1 0.132 0.250 0.263
Pu2 0.868 0.750 0.737
In1 0.145 0.750 0.292
In2 0.855 0.250 0.708
Au1 0.325 0.513 0.652
Au2 0.325 0.987 0.652
Au3 0.488 0.250 0.974
Au4 0.512 0.750 0.026
Au5 0.675 0.013 0.348
Au6 0.675 0.487 0.348

Output
Spin magnetization (μB/cell): 11.07

***

Most stable: entry A. Least stable: entry B.

***

Entry A
A plane-wave DFT calculation with PBE-GGA was carried out for PuZrInAu after structural relaxation.

Unit cell a=5.108 b=5.108 c=5.108 alpha=60.00 beta=60.00 gamma=60.00
Fractional positions:
Pu1 0.000 0.000 0.000
Zr1 0.500 0.500 0.500
In1 0.250 0.250 0.250
Au1 0.750 0.750 0.750

Output
Spin magnetization (μB/cell): 6.71

***

Entry B
A plane-wave DFT calculation with PBE-GGA was carried out for PuZrInAu after structural relaxation.

Unit cell a=3.204 b=3.204 c=8.779 alpha=90.00 beta=90.00 gamma=90.00
Fractional positions:
Pu1 0.000 0.000 0.000
Zr1 0.000 0.000 0.471
In1 0.500 0.500 0.720
Au1 0.500 0.500 0.254

Output
Spin magnetization (μB/cell): 5.57

***

Most stable: entry B. Least stable: entry A.